Computed, not measured: a relaxed structure of Ba2Cr3O8 at the PBE+U level of DFT.

Cell: 3.870 3.870 12.776 Å, 90.00 90.00 90.00°
Each line ends with the local moment (μB).
Atoms (fractional coordinates):
Ba 0.500 0.500 0.164  0.00
Ba 0.500 0.500 0.836  0.00
Cr 0.000 0.000 0.315  2.44
Cr 0.000 0.000 0.000  2.38
Cr 0.000 0.000 0.685  2.44
O 0.000 0.500 0.329  -0.26
O 0.500 0.000 0.329  -0.26
O 0.500 0.000 0.000  -0.09
O 0.000 0.000 0.164  -0.01
O 0.000 0.500 0.671  -0.26
O 0.500 0.000 0.671  -0.26
O 0.000 0.000 0.836  -0.01
O 0.000 0.500 0.000  -0.09

DOS(E_F) = 0.5049 states/eV per atom
total magnetic moment = 6.0 μB per formula unit
uncorrected energy = -6.8644 eV per atom
space group = P4/mmm